[1]
Li2YTe2 GGA-PBE relaxed; formation energy without anion corrections = -883 meV/atom; density of states at the Fermi level = 1.0 states/eV/f.u.; volume = 26.818 Å³/atom; symmetry = P4/mbm (127); energy relative to the lowest polymorph listed for this composition = 0.54 eV per formula unit
1.0
8.112 0.000 0.000
0.000 8.112 0.000
0.000 0.000 4.075
Li Y Te
4 2 4
direct
0.139 0.361 0.000
0.361 0.861 0.000
0.639 0.139 0.000
0.861 0.639 0.000
0.000 0.000 0.500
0.500 0.500 0.500
0.171 0.671 0.500
0.329 0.171 0.500
0.671 0.829 0.500
0.829 0.329 0.500

[2]
Li2Sm2Zn15 GGA-PBE relaxed; density of states at the Fermi level = 7.3 states/eV/f.u.; volume = 16.416 Å³/atom; energy relative to the elements = -0.27 eV per atom; symmetry = R-3m (166)
1.0
4.537 2.619 4.375
-4.537 2.619 4.375
0.000 -5.239 4.375
Li Sm Zn
2 2 15
direct
0.098 0.098 0.098
0.902 0.902 0.902
0.339 0.339 0.339
0.661 0.661 0.661
0.000 0.000 0.500
0.000 0.295 0.705
0.000 0.500 0.000
0.000 0.705 0.295
0.159 0.650 0.650
0.295 0.000 0.705
0.295 0.705 0.000
0.350 0.350 0.841
0.350 0.841 0.350
0.500 0.000 0.000
0.650 0.159 0.650
0.650 0.650 0.159
0.705 0.000 0.295
0.705 0.295 0.000
0.841 0.350 0.350

[3]
Na3Pm3InTe8 GGA-PBE relaxed; formation energy without anion corrections = -1033 meV/atom; density of states at the Fermi level = 10.0 states/eV/f.u.; volume = 35.059 Å³/atom; symmetry = C2/m (12)
1.0
7.696 -4.433 0.000
7.696 4.433 0.000
-5.135 0.000 7.707
Na Pm In Te
3 3 1 8
direct
0.000 0.000 0.000
0.000 0.500 0.000
0.500 0.000 0.000
0.000 0.500 0.500
0.500 0.000 0.500
0.500 0.500 0.500
0.000 0.000 0.500
0.239 0.239 0.732
0.239 0.754 0.732
0.246 0.761 0.268
0.254 0.254 0.261
0.746 0.746 0.739
0.754 0.239 0.732
0.761 0.246 0.268
0.761 0.761 0.268

[4]
Pd3CO GGA-PBE relaxed; formation energy without anion corrections = 614 meV/atom; density of states at the Fermi level = 3.0 states/eV/f.u.; volume = 13.507 Å³/atom; symmetry = Pm-3m (221); energy relative to the lowest polymorph listed for this composition = 0.00 eV per formula unit
1.0
4.072 0.000 0.000
0.000 4.072 0.000
0.000 0.000 4.072
Pd C O
3 1 1
direct
0.000 0.000 0.500
0.000 0.500 0.000
0.500 0.000 0.000
0.000 0.000 0.000
0.500 0.500 0.500

[5]
BeIrAu2 GGA-PBE relaxed; density of states at the Fermi level = 3.2 states/eV/f.u.; volume = 14.869 Å³/atom; energy relative to the elements = 0.18 eV per atom; symmetry = R-3m (166)
1.0
1.413 0.816 8.599
-1.413 0.816 8.599
0.000 -1.632 8.599
Be Ir Au
1 1 2
direct
0.000 0.000 0.000
0.500 0.500 0.500
0.261 0.261 0.261
0.739 0.739 0.739

[6]
ThTlNiPd GGA-PBE relaxed; density of states at the Fermi level = 3.7 states/eV/f.u.; volume = 20.619 Å³/atom; energy relative to the elements = -0.36 eV per atom; symmetry = F-43m (216)
1.0
0.000 3.455 3.455
3.455 0.000 3.455
3.455 3.455 0.000
Th Tl Ni Pd
1 1 1 1
direct
0.000 0.000 0.000
0.500 0.500 0.500
0.750 0.750 0.750
0.250 0.250 0.250

[7]
SrPmEr2 GGA-PBE relaxed; density of states at the Fermi level = 6.4 states/eV/f.u.; volume = 36.072 Å³/atom; energy relative to the elements = 0.14 eV per atom; symmetry = P4/mmm (123); energy relative to the lowest polymorph listed for this composition = 0.00 eV per formula unit
1.0
3.695 0.000 0.000
0.000 3.695 0.000
0.000 0.000 10.568
Sr Pm Er
1 1 2
direct
0.000 0.000 0.000
0.000 0.000 0.500
0.500 0.500 0.277
0.500 0.500 0.723

[8]
Pm5CS4 GGA-PBE relaxed; formation energy without anion corrections = -1659 meV/atom; density of states at the Fermi level = 4.0 states/eV/f.u.; volume = 22.508 Å³/atom; symmetry = I4/mmm (139)
1.0
-1.996 1.996 14.129
1.996 -1.996 14.129
1.996 1.996 -14.129
Pm C S
5 1 4
direct
0.000 0.000 0.000
0.201 0.201 0.000
0.412 0.412 0.000
0.588 0.588 0.000
0.799 0.799 0.000
0.500 0.500 0.000
0.100 0.100 0.000
0.303 0.303 0.000
0.697 0.697 0.000
0.900 0.900 0.000